No. 1
A plane-wave DFT calculation with PBE-GGA was carried out for a geometry-optimized NbIr2Os structure.

Lattice parameters (Å, degrees): 4.466 4.466 4.466 60.00 60.00 60.00
Last column: magnetic moment on the atom in μB.
Element x y z (fractional)
Nb  0.000  0.000  0.000  -0.04
Ir  0.250  0.250  0.250  0.37
Ir  0.750  0.750  0.750  0.37
Os  0.500  0.500  0.500  0.73

The calculation puts the energy above the most stable polymorph in this dataset at 699.1 meV per atom. The symmetry is Fm-3m, No. 225. As for the formation energy: 0.265 eV/atom. The value obtained for the total energy is -9.490 eV per atom.

No. 2
A plane-wave DFT calculation with PBE-GGA was carried out for a geometry-optimized Nb4IrOs structure.

Lattice parameters (Å, degrees): 4.397 4.400 6.177 89.93 89.95 90.00
Element x y z (fractional)
Nb  0.501  0.997  0.245
Nb  0.501  0.998  0.751
Nb  0.001  0.497  0.751
Nb  0.001  0.497  0.246
Ir  0.001  0.997  0.498
Os  0.501  0.497  0.998

The symmetry is C2/m, No. 12. As for the formation energy: 0.107 eV/atom. The value obtained for the total energy is -9.955 eV per atom.